Entry 1:
The following is a DFT calculation (PBE-GGA) of a geometry-optimized Tb3GaNi structure.

Cell: 4.968 7.241 7.037 Å, 94.30 90.00 90.02°
Positions (direct):
Tb 0.543 0.988 0.660
Tb 0.543 0.335 0.033
Tb 0.043 0.189 0.383
Tb 0.043 0.583 0.824
Tb 0.543 0.535 0.461
Tb 0.543 0.877 0.141
Ga 0.043 0.781 0.415
Ga 0.043 0.105 0.928
Ni 0.544 0.654 0.825
Ni 0.043 0.497 0.206

DFT formation energy = -0.286 eV per atom
Calculated total energy = -24.1 eV/f.u.
Symmetry = No. 6

***

Entry 2:
The following is a DFT calculation (PBE-GGA) of a geometry-optimized Tb3GaNi8 structure.

Cell: 5.006 5.006 8.659 Å, 73.20 73.20 60.00°
Positions (direct):
Tb 0.377 0.377 0.868
Tb 0.991 0.991 0.026
Tb 0.506 0.506 0.481
Ga 0.867 0.867 0.399
Ni 0.940 0.436 0.187
Ni 0.441 0.939 0.682
Ni 0.436 0.436 0.187
Ni 0.939 0.939 0.682
Ni 0.189 0.189 0.433
Ni 0.689 0.689 0.934
Ni 0.436 0.940 0.187
Ni 0.939 0.441 0.682

DFT formation energy = -0.426 eV per atom
Calculated total energy = -68.3 eV/f.u.
Symmetry = No. 160